Material: FePO4
Method: DFT, GGA+U
State: optimized geometry

N(E_F) = 0.00 states/eV/atom
symmetry = P2_1/c (14)
total energy = -7.05 eV per atom
total moment = 5.01 μB/f.u.

a b c (Å): 5.310 9.253 8.019
angles (deg): 90.00 109.76 90.00
Atoms (fractional coordinates):
Fe: 0.224 0.010 0.205
Fe: 0.224 0.490 0.705
Fe: 0.776 0.510 0.295
Fe: 0.776 0.990 0.795
P: 0.203 0.145 0.785
P: 0.203 0.355 0.285
P: 0.797 0.645 0.715
P: 0.797 0.855 0.215
O: 0.073 0.609 0.854
O: 0.073 0.891 0.354
O: 0.167 0.071 0.954
O: 0.167 0.429 0.454
O: 0.249 0.192 0.316
O: 0.249 0.308 0.816
O: 0.437 0.076 0.743
O: 0.437 0.424 0.243
O: 0.563 0.576 0.757
O: 0.563 0.924 0.257
O: 0.751 0.692 0.184
O: 0.751 0.808 0.684
O: 0.833 0.571 0.546
O: 0.833 0.929 0.046
O: 0.927 0.109 0.646
O: 0.927 0.391 0.146